Material: Y7ErTl4
Method: DFT, GGA-PBE
State: optimized geometry

Cell: 14.939 5.763 9.924 Å, 90.00 122.01 90.00°
Space group C2/m (No. 12)
One atom of each set of equivalent atoms:
Y: 0.000 0.000 0.000 x2
Y: 0.067 0.500 0.405 x4
Y: 0.205 0.500 0.879 x4
Y: 0.240 0.000 0.690 x4
Er: 0.000 0.500 0.000 x2
Tl: 0.051 0.000 0.719 x4
Tl: 0.185 0.000 0.337 x4

Results
As for the energy relative to the elements: -40 meV/atom.



Material: Y3ErTl3
Method: DFT, GGA-PBE
State: optimized geometry

Cell: 9.3874 9.3874 5.2544 Å, 90.00 90.00 120.00°
Space group P6_3/m (No. 176)
One atom of each set of equivalent atoms:
Y: 0.0027 0.2361 0.2500 x6
Er: 0.3333 0.6667 0.2500 x2
Tl: 0.0721 0.4504 0.7500 x6

Results
As for the energy relative to the elements: -219 meV/atom.



Material: YEr6Tl4
Method: DFT, GGA-PBE
State: optimized geometry

Cell: 9.9965 9.9965 3.7110 Å, 90.00 90.00 120.00°
Space group P-6m2 (No. 187)
One atom of each set of equivalent atoms:
Y: 0.0000 0.0000 0.0000 x1
Er: 0.1909 0.3818 0.5000 x3
Er: 0.5394 0.0787 0.0000 x3
Tl: 0.3224 0.1612 0.5000 x3
Tl: 0.3333 0.6667 0.0000 x1

Results
As for the energy relative to the elements: -223 meV/atom.